VASP calculation (GGA-PBE) on ZrTeOs2 after structural relaxation.

Values from the calculation:
As for the symmetry: No. 47. Its electronic total energy is -8.34 eV/atom. Its formation energy from raw total energies is 0.202 eV/atom. The density of states at the Fermi level is 1.67 states/eV/cell.

```
ZrTeOs2
1.0
3.2866 0.0000 0.0000
0.0000 3.4786 0.0000
0.0000 0.0000 6.3467
Zr Te Os
1 1 2
Cartesian
0.0000 0.0000 0.0000
0.0000 0.0000 3.1733
1.6433 1.7393 1.5473
1.6433 1.7393 4.7994
```


VASP calculation (GGA-PBE) on ZrTeOs2 after structural relaxation.

Values from the calculation:
As for the symmetry: No. 119. Its electronic total energy is -8.28 eV/atom. Its formation energy from raw total energies is 0.256 eV/atom. The density of states at the Fermi level is 2.88 states/eV/cell.

```
ZrTeOs2
1.0
-1.9849 1.9849 4.4742
1.9849 -1.9849 4.4742
1.9849 1.9849 -4.4742
Zr Te Os
1 1 2
Cartesian
0.0000 0.0000 0.0000
0.0000 1.9849 2.2371
1.9849 0.0000 2.2371
0.0000 0.0000 4.4742
```


VASP calculation (GGA-PBE) on ZrTeOs2 after structural relaxation.

Values from the calculation:
As for the symmetry: No. 44. Its electronic total energy is -8.26 eV/atom. Its formation energy from raw total energies is 0.276 eV/atom. The density of states at the Fermi level is 4.05 states/eV/cell.

```
ZrTeOs2
1.0
-1.6282 2.3206 4.7253
1.6282 -2.3206 4.7253
1.6282 2.3206 -4.7253
Zr Te Os
1 1 2
Cartesian
0.0000 0.0000 0.0000
1.6282 0.0000 2.4345
0.0000 0.0000 4.5719
0.0000 2.3206 2.1358
```